Below is a relaxed PuCd crystal, with properties calculated at the PBE level.

abc: 3.1903 3.1903 5.5231
angles: 90.00 90.00 120.00
Sites, in units of the cell vectors:
Pu1 0.0000 0.0000 0.0000
Cd1 0.3333 0.6667 0.5000

Calculated values
* V: 49 Å³ per cell
* ρ: 12157 kg/m3
* E_tot: -7.512 eV/atom
* size of the total moment: 5.70 Bohr magnetons per cell
* space group: P-6m2, No. 187